Material: KCr2Ru
Method: DFT, PBE-GGA
State: relaxed

Symmetry   No. 119
Density of states at the Fermi level   4.6 states/eV/f.u.
Energy above the lowest structure with this stoichiometry   613 meV per atom
Formation energy   5.3 eV per formula unit
Raw total energy   -6.08 eV/atom

a b c (Å): 4.648 4.648 4.648
angles (deg): 120.09 120.09 89.85
Each line ends with the local moment (μB).
Fractional coordinates of all 4 atoms:
Ru 0.750 0.250 0.500  0.84
K 0.500 0.500 0.000  0.04
Cr 0.000 0.000 0.000  -3.02
Cr 0.250 0.750 0.500  3.52